A plane-wave DFT calculation with PBE was carried out for crystalline HgAsCl2 at its relaxed geometry.

Properties
Symmetry: Cmmm
Energy relative to the elements, uncorrected in meV/atom: 62
Excess energy over the best structure of this formula in the dataset in eV per formula unit: 1.44

Cell lengths 7.9191, 7.9457, 3.1422 Å; angles 90.00, 90.00, 90.00 degrees
Element x y z (fractional)
Hg (0.0000, 0.0000, 0.0000)
Hg (0.5000, 0.5000, 0.0000)
As (0.0000, 0.5000, 0.0000)
As (0.5000, 0.0000, 0.0000)
Cl (0.2500, 0.2500, 0.0000)
Cl (0.2500, 0.7500, 0.0000)
Cl (0.7500, 0.2500, 0.0000)
Cl (0.7500, 0.7500, 0.0000)